## Ag3Au5 (GGA-PBE)

Data for a relaxed structure of Ag3Au5.

Cell lengths 5.636, 7.034, 7.753 Å; angles 76.45, 84.43, 74.65 degrees
Fractional coordinates of all 16 atoms:
Ag1 0.136 0.115 0.074
Ag2 0.260 0.988 0.449
Ag3 0.363 0.387 0.425
Ag4 0.637 0.613 0.575
Ag5 0.740 0.012 0.551
Ag6 0.864 0.885 0.926
Au1 0.012 0.238 0.697
Au2 0.116 0.635 0.677
Au3 0.241 0.510 0.051
Au4 0.385 0.866 0.821
Au5 0.492 0.258 0.801
Au6 0.508 0.742 0.199
Au7 0.615 0.134 0.179
Au8 0.759 0.490 0.949
Au9 0.884 0.365 0.323
Au10 0.988 0.762 0.303

distance to the lowest polymorph of the same formula: 1 meV per atom
crystal system: triclinic
spin magnetization: 0.00 μB per cell
space-group type: P-1 (2)
formation energy from the elements: -0.03 eV/atom